1.
! ReSb GGA-PBE optimized geometry; values from VASP
&SYSTEM
  ibrav = 0, nat = 2, ntyp = 2
/
ATOMIC_SPECIES
Re 186.21 Re.upf
Sb 121.76 Sb.upf
CELL_PARAMETERS angstrom
-1.242 4.073 0.289
-4.036 0.932 1.028
-0.894 1.692 3.814
ATOMIC_POSITIONS angstrom
Re 0.000 0.000 0.000
Sb -4.630 5.023 3.848
! Total magnetization (μB per atom): 0.5294
! Raw formation energy (eV/atom): 1.445

---

2.
! ReSb GGA-PBE optimized geometry; values from VASP
&SYSTEM
  ibrav = 0, nat = 4, ntyp = 2
/
ATOMIC_SPECIES
Sb 121.76 Sb.upf
Re 186.21 Re.upf
CELL_PARAMETERS angstrom
4.647 0.000 0.000
0.000 3.276 0.004
0.000 3.287 4.628
ATOMIC_POSITIONS angstrom
Sb 1.162 3.279 1.160
Sb 3.485 3.283 3.472
Re 3.485 1.640 1.158
Re 1.162 4.922 3.474
! Total magnetization (μB per atom): 0.0000
! Raw formation energy (eV/atom): 0.584

---

3.
! ReSb4 GGA-PBE optimized geometry; values from VASP
&SYSTEM
  ibrav = 0, nat = 5, ntyp = 2
/
ATOMIC_SPECIES
Re 186.21 Re.upf
Sb 121.76 Sb.upf
CELL_PARAMETERS angstrom
-4.476 4.476 1.626
4.476 -4.476 1.626
4.476 4.476 -1.626
ATOMIC_POSITIONS angstrom
Re 0.000 0.000 0.000
Sb 5.201 2.311 0.000
Sb 2.165 0.725 1.626
Sb -0.725 2.165 1.626
Sb 2.311 3.750 0.000
! Total magnetization (μB per atom): 0.0000
! Raw formation energy (eV/atom): 0.318

---

4.
! ReSb GGA-PBE optimized geometry; values from VASP
&SYSTEM
  ibrav = 0, nat = 8, ntyp = 2
/
ATOMIC_SPECIES
Re 186.21 Re.upf
Sb 121.76 Sb.upf
CELL_PARAMETERS angstrom
-4.217 -1.292 2.240
1.309 -2.169 -4.249
3.800 -5.502 3.980
ATOMIC_POSITIONS angstrom
Re -0.110 -4.865 2.450
Re -0.168 -2.406 -1.703
Re 1.001 -4.098 -0.479
Re 1.059 -6.557 3.674
Sb 0.950 -1.376 0.995
Sb 2.850 -4.127 2.985
Sb -1.425 -2.960 1.072
Sb 2.316 -6.003 0.899
! Total magnetization (μB per atom): 0.0000
! Raw formation energy (eV/atom): 1.211

---

5.
! ReSb2 GGA-PBE optimized geometry; values from VASP
&SYSTEM
  ibrav = 0, nat = 6, ntyp = 2
/
ATOMIC_SPECIES
Sb 121.76 Sb.upf
Re 186.21 Re.upf
CELL_PARAMETERS angstrom
1.812 -5.444 4.766
2.961 -6.578 1.898
6.066 0.182 2.358
ATOMIC_POSITIONS angstrom
Sb 3.697 -4.186 3.136
Sb 1.753 -0.983 1.091
Sb 9.085 -10.857 7.931
Sb 7.141 -7.655 5.887
Re 4.663 -8.851 5.367
Re 6.175 -2.990 3.656
! Total magnetization (μB per atom): 0.0000
! Raw formation energy (eV/atom): 0.180

---

6.
! Re3Sb5 GGA-PBE optimized geometry; values from VASP
&SYSTEM
  ibrav = 0, nat = 16, ntyp = 2
/
ATOMIC_SPECIES
Sb 121.76 Sb.upf
Re 186.21 Re.upf
CELL_PARAMETERS angstrom
-1.296 -5.299 5.916
7.415 2.838 -1.306
-1.048 4.478 3.782
ATOMIC_POSITIONS angstrom
Sb 3.988 2.364 2.992
Sb 1.084 -0.348 5.399
Sb 4.511 0.126 1.101
Sb 4.715 5.463 1.868
Sb -0.597 -0.249 2.473
Sb 1.608 -2.587 3.509
Sb 5.668 2.265 5.919
Sb 0.794 2.723 4.026
Sb 4.278 -0.706 4.365
Sb 0.356 -3.447 6.524
Re -1.031 -2.026 4.457
Re 2.846 1.897 5.573
Re 2.844 -2.495 6.086
Re 6.103 4.042 3.935
Re 2.225 0.119 2.819
Re 2.228 4.512 2.306
! Total magnetization (μB per atom): 0.0000
! Raw formation energy (eV/atom): 0.731

---

7.
! ReSb GGA-PBE optimized geometry; values from VASP
&SYSTEM
  ibrav = 0, nat = 4, ntyp = 2
/
ATOMIC_SPECIES
Re 186.21 Re.upf
Sb 121.76 Sb.upf
CELL_PARAMETERS angstrom
-0.447 -4.267 -2.926
3.391 -1.734 -3.530
2.889 -4.305 0.297
ATOMIC_POSITIONS angstrom
Re 0.531 -0.939 -0.561
Re 5.302 -9.367 -5.597
Sb 2.300 -4.064 -2.428
Sb 3.533 -6.242 -3.730
! Total magnetization (μB per atom): 0.0000
! Raw formation energy (eV/atom): 0.994

---

8.
! ReSb GGA-PBE optimized geometry; values from VASP
&SYSTEM
  ibrav = 0, nat = 6, ntyp = 2
/
ATOMIC_SPECIES
Sb 121.76 Sb.upf
Re 186.21 Re.upf
CELL_PARAMETERS angstrom
1.516 6.491 0.058
-1.516 6.491 0.058
0.000 1.261 6.667
ATOMIC_POSITIONS angstrom
Sb 0.000 9.961 0.535
Sb 0.000 1.641 5.912
Sb 0.000 13.131 2.732
Re 0.000 10.200 4.688
Re 0.000 5.905 4.955
Re 0.000 4.264 2.660
! Total magnetization (μB per atom): 0.0000
! Raw formation energy (eV/atom): 0.501

---

9.
! Re7Sb6 GGA-PBE optimized geometry; values from VASP
&SYSTEM
  ibrav = 0, nat = 13, ntyp = 2
/
ATOMIC_SPECIES
Re 186.21 Re.upf
Sb 121.76 Sb.upf
CELL_PARAMETERS angstrom
-11.249 -3.690 -0.578
-8.916 -6.410 -4.462
-8.607 -8.132 0.525
ATOMIC_POSITIONS angstrom
Re -14.386 -9.116 -2.257
Re -12.841 -7.744 -0.430
Re -13.001 -6.853 -3.010
Re -17.139 -9.082 -2.075
Re -15.932 -10.489 -4.084
Re -15.772 -11.380 -1.504
Re -11.634 -9.151 -2.440
Sb -27.126 -17.190 -4.256
Sb -10.544 -6.682 -1.654
Sb -4.343 -2.752 -0.681
Sb -18.229 -11.551 -2.860
Sb -24.429 -15.480 -3.833
Sb -1.646 -1.043 -0.258
! Total magnetization (μB per atom): 0.0000
! Raw formation energy (eV/atom): 0.599

---

10.
! ReSb2 GGA-PBE optimized geometry; values from VASP
&SYSTEM
  ibrav = 0, nat = 6, ntyp = 2
/
ATOMIC_SPECIES
Sb 121.76 Sb.upf
Re 186.21 Re.upf
CELL_PARAMETERS angstrom
-0.476 -10.427 8.239
-4.343 -11.135 5.830
3.591 9.521 -8.561
ATOMIC_POSITIONS angstrom
Sb -2.107 -9.427 6.151
Sb -2.712 -12.136 7.918
Sb -1.883 -7.552 3.035
Sb -1.278 -4.843 1.268
Re 0.000 0.000 0.000
Re 0.353 -5.844 3.356
! Total magnetization (μB per atom): 0.0000
! Raw formation energy (eV/atom): 0.295

---

11.
! ReSb4 GGA-PBE optimized geometry; values from VASP
&SYSTEM
  ibrav = 0, nat = 5, ntyp = 2
/
ATOMIC_SPECIES
Sb 121.76 Sb.upf
Re 186.21 Re.upf
CELL_PARAMETERS angstrom
-1.616 -3.692 -3.263
4.405 -2.621 0.785
-2.208 -2.527 3.953
ATOMIC_POSITIONS angstrom
Sb -1.912 -3.110 0.345
Sb 0.000 0.000 0.000
Sb 1.394 -3.157 -1.239
Sb 1.098 -2.574 2.369
Re 0.290 -4.420 0.738
! Total magnetization (μB per atom): 0.0000
! Raw formation energy (eV/atom): 0.600

---

12.
! ReSb2 GGA-PBE optimized geometry; values from VASP
&SYSTEM
  ibrav = 0, nat = 6, ntyp = 2
/
ATOMIC_SPECIES
Re 186.21 Re.upf
Sb 121.76 Sb.upf
CELL_PARAMETERS angstrom
5.113 0.196 2.865
0.850 -3.379 4.717
3.693 -4.548 -0.278
ATOMIC_POSITIONS angstrom
Re 4.828 -3.866 3.652
Re 7.242 -5.798 5.478
Sb 1.632 -2.656 3.272
Sb 1.207 -0.966 0.913
Sb 3.053 -3.240 0.774
Sb 3.764 -0.868 2.345
! Total magnetization (μB per atom): 0.6238
! Raw formation energy (eV/atom): 1.848

---

13.
! Re3Sb2 GGA-PBE optimized geometry; values from VASP
&SYSTEM
  ibrav = 0, nat = 10, ntyp = 2
/
ATOMIC_SPECIES
Sb 121.76 Sb.upf
Re 186.21 Re.upf
CELL_PARAMETERS angstrom
0.000 5.625 6.427
2.586 0.000 6.427
2.586 5.625 0.000
ATOMIC_POSITIONS angstrom
Sb 4.515 6.517 9.050
Sb 3.222 7.546 5.836
Sb 3.222 3.704 7.019
Sb 4.515 10.359 10.233
Re 0.045 5.625 6.427
Re 1.928 4.804 4.779
Re 1.928 6.446 8.076
Re 1.338 2.813 3.214
Re 3.221 9.258 7.993
Re 3.221 7.617 11.290
! Total magnetization (μB per atom): 0.0000
! Raw formation energy (eV/atom): 0.698

---

14.
! Re7Sb GGA-PBE optimized geometry; values from VASP
&SYSTEM
  ibrav = 0, nat = 8, ntyp = 2
/
ATOMIC_SPECIES
Re 186.21 Re.upf
Sb 121.76 Sb.upf
CELL_PARAMETERS angstrom
-4.806 -1.363 2.548
-3.110 3.980 2.434
-4.901 1.507 -2.268
ATOMIC_POSITIONS angstrom
Re -4.006 2.744 0.083
Re -6.408 2.062 1.357
Re -2.451 0.754 -1.134
Re -1.555 1.990 1.217
Re -2.403 -0.682 1.274
Re -4.854 0.072 0.140
Re -3.958 1.309 2.491
Sb 0.000 0.000 0.000
! Total magnetization (μB per atom): 0.0000
! Raw formation energy (eV/atom): 0.462

---

15.
! ReSb GGA-PBE optimized geometry; values from VASP
&SYSTEM
  ibrav = 0, nat = 4, ntyp = 2
/
ATOMIC_SPECIES
Sb 121.76 Sb.upf
Re 186.21 Re.upf
CELL_PARAMETERS angstrom
4.210 0.000 0.000
0.000 3.261 0.005
0.000 -0.020 6.889
ATOMIC_POSITIONS angstrom
Sb 2.105 0.407 1.180
Sb 0.000 2.023 3.991
Re 0.000 0.389 6.180
Re 2.105 2.021 5.880
! Total magnetization (μB per atom): 0.0000
! Raw formation energy (eV/atom): 0.381

---

16.
! ReSb4 GGA-PBE optimized geometry; values from VASP
&SYSTEM
  ibrav = 0, nat = 5, ntyp = 2
/
ATOMIC_SPECIES
Re 186.21 Re.upf
Sb 121.76 Sb.upf
CELL_PARAMETERS angstrom
-1.913 1.913 9.420
1.913 -1.913 9.420
1.913 1.913 -9.420
ATOMIC_POSITIONS angstrom
Re 0.000 0.000 0.000
Sb 0.000 0.000 10.884
Sb 0.000 0.000 7.956
Sb 0.000 1.913 4.710
Sb 1.913 0.000 4.710
! Total magnetization (μB per atom): 0.0000
! Raw formation energy (eV/atom): 0.926

---

17.
! ReSb2 GGA-PBE optimized geometry; values from VASP
&SYSTEM
  ibrav = 0, nat = 6, ntyp = 2
/
ATOMIC_SPECIES
Sb 121.76 Sb.upf
Re 186.21 Re.upf
CELL_PARAMETERS angstrom
-3.204 3.204 3.030
3.204 -3.204 3.030
3.204 3.204 -3.030
ATOMIC_POSITIONS angstrom
Sb 4.238 1.034 0.000
Sb 1.034 2.170 0.000
Sb -1.034 2.170 3.030
Sb 2.170 1.034 3.030
Re 0.000 0.000 4.545
Re 0.000 0.000 1.515
! Total magnetization (μB per atom): 0.0001
! Raw formation energy (eV/atom): 0.346

---

18.
! ReSb GGA-PBE optimized geometry; values from VASP
&SYSTEM
  ibrav = 0, nat = 4, ntyp = 2
/
ATOMIC_SPECIES
Re 186.21 Re.upf
Sb 121.76 Sb.upf
CELL_PARAMETERS angstrom
-0.336 -1.880 2.361
2.400 -1.607 -0.938
5.508 5.305 5.007
ATOMIC_POSITIONS angstrom
Re 6.567 2.218 5.629
Re 1.006 -0.400 0.801
Sb 4.364 2.834 3.853
Sb 3.209 -1.015 2.577
! Total magnetization (μB per atom): 0.0000
! Raw formation energy (eV/atom): 0.220

---

19.
! ReSb GGA-PBE optimized geometry; values from VASP
&SYSTEM
  ibrav = 0, nat = 4, ntyp = 2
/
ATOMIC_SPECIES
Sb 121.76 Sb.upf
Re 186.21 Re.upf
CELL_PARAMETERS angstrom
5.090 -0.003 -0.006
4.065 3.063 -0.006
1.981 0.662 4.781
ATOMIC_POSITIONS angstrom
Sb 5.468 1.827 2.635
Sb 2.885 0.964 0.942
Re 0.380 0.127 0.380
Re 7.973 2.664 3.197
! Total magnetization (μB per atom): 0.0000
! Raw formation energy (eV/atom): 0.526

---

20.
! ReSb GGA-PBE optimized geometry; values from VASP
&SYSTEM
  ibrav = 0, nat = 4, ntyp = 2
/
ATOMIC_SPECIES
Re 186.21 Re.upf
Sb 121.76 Sb.upf
CELL_PARAMETERS angstrom
-2.178 -3.664 -2.913
3.679 3.532 -0.801
2.976 -2.805 1.303
ATOMIC_POSITIONS angstrom
Re 1.879 -0.296 -1.393
Re 2.599 -2.641 -1.018
Sb 0.898 -4.731 -1.632
Sb 3.580 1.795 -0.779
! Total magnetization (μB per atom): 0.0000
! Raw formation energy (eV/atom): 0.530

---

21.
! ScReSb2 GGA-PBE optimized geometry; values from VASP
&SYSTEM
  ibrav = 0, nat = 4, ntyp = 3
/
ATOMIC_SPECIES
Sb 121.76 Sb.upf
Re 186.21 Re.upf
Sc 44.96 Sc.upf
CELL_PARAMETERS angstrom
-1.421 -2.183 -4.111
-4.059 -2.685 -0.052
-3.943 1.595 -2.365
ATOMIC_POSITIONS angstrom
Sb 0.000 0.000 0.000
Sb -2.356 -0.818 -1.632
Re -4.711 -1.636 -3.263
Sc -7.067 -2.454 -4.895
! Total magnetization (μB per atom): 0.0000
! Raw formation energy (eV/atom): 0.256

---

22.
! ScReSb2 GGA-PBE optimized geometry; values from VASP
&SYSTEM
  ibrav = 0, nat = 4, ntyp = 3
/
ATOMIC_SPECIES
Sc 44.96 Sc.upf
Sb 121.76 Sb.upf
Re 186.21 Re.upf
CELL_PARAMETERS angstrom
2.754 -3.174 2.341
-1.723 -4.368 1.047
1.697 -3.870 -2.299
ATOMIC_POSITIONS angstrom
Sc 0.000 0.000 0.000
Sb 0.682 -2.853 0.272
Sb 2.046 -8.558 0.817
Re 1.364 -5.705 0.545
! Total magnetization (μB per atom): 0.0000
! Raw formation energy (eV/atom): -0.025

---

23.
! Sc3ReSb GGA-PBE optimized geometry; values from VASP
&SYSTEM
  ibrav = 0, nat = 5, ntyp = 3
/
ATOMIC_SPECIES
Sc 44.96 Sc.upf
Sb 121.76 Sb.upf
Re 186.21 Re.upf
CELL_PARAMETERS angstrom
5.151 0.000 0.000
0.000 5.151 0.000
0.000 0.000 5.151
ATOMIC_POSITIONS angstrom
Sc 0.000 0.000 2.575
Sc 2.575 0.000 0.000
Sc 0.000 2.575 0.000
Sb 0.000 0.000 0.000
Re 2.575 2.575 2.575
! Total magnetization (μB per atom): 0.0002
! Raw formation energy (eV/atom): 1.072

---

24.
! ScReSb2 GGA-PBE optimized geometry; values from VASP
&SYSTEM
  ibrav = 0, nat = 4, ntyp = 3
/
ATOMIC_SPECIES
Sc 44.96 Sc.upf
Sb 121.76 Sb.upf
Re 186.21 Re.upf
CELL_PARAMETERS angstrom
5.232 0.018 0.107
4.107 3.241 0.107
1.479 0.516 4.942
ATOMIC_POSITIONS angstrom
Sc 5.203 1.816 2.410
Sb 2.669 0.931 1.391
Sb 1.580 0.551 4.590
Re 8.254 2.880 4.283
! Total magnetization (μB per atom): 0.0000
! Raw formation energy (eV/atom): -0.003

---

25.
! ScReSb2 GGA-PBE optimized geometry; values from VASP
&SYSTEM
  ibrav = 0, nat = 4, ntyp = 3
/
ATOMIC_SPECIES
Re 186.21 Re.upf
Sb 121.76 Sb.upf
Sc 44.96 Sc.upf
CELL_PARAMETERS angstrom
5.271 0.000 0.000
0.000 3.408 -0.447
0.000 0.595 4.522
ATOMIC_POSITIONS angstrom
Re 2.635 3.420 2.938
Sb 0.000 2.984 -0.369
Sb 2.635 1.420 0.917
Sc 0.000 1.587 2.180
! Total magnetization (μB per atom): 0.0000
! Raw formation energy (eV/atom): 0.103

---

26.
! Sc3ReSb GGA-PBE optimized geometry; values from VASP
&SYSTEM
  ibrav = 0, nat = 5, ntyp = 3
/
ATOMIC_SPECIES
Sc 44.96 Sc.upf
Sb 121.76 Sb.upf
Re 186.21 Re.upf
CELL_PARAMETERS angstrom
-4.090 -2.910 -0.179
0.037 -0.359 5.010
-2.915 4.078 0.313
ATOMIC_POSITIONS angstrom
Sc -2.045 -1.455 -0.089
Sc 0.018 -0.179 2.505
Sc -1.457 2.039 0.157
Sb -3.484 0.405 2.572
Re 0.000 0.000 0.000
! Total magnetization (μB per atom): 0.0000
! Raw formation energy (eV/atom): 0.070

---

27.
! ScReSb2 GGA-PBE optimized geometry; values from VASP
&SYSTEM
  ibrav = 0, nat = 4, ntyp = 3
/
ATOMIC_SPECIES
Sb 121.76 Sb.upf
Re 186.21 Re.upf
Sc 44.96 Sc.upf
CELL_PARAMETERS angstrom
9.064 0.005 0.003
8.454 3.267 0.003
8.454 1.579 2.861
ATOMIC_POSITIONS angstrom
Sb 12.744 2.380 1.406
Sb 0.242 0.045 0.027
Re 19.479 3.638 2.149
Sc 6.493 1.213 0.716
! Total magnetization (μB per atom): 0.0842
! Raw formation energy (eV/atom): 0.178